This record from Alexandria describes CrTeP3 after structural relaxation. The functional is PBE.

a = 4.5133 Å, b = 4.5133 Å, c = 4.5133 Å
α = 90.00°, β = 90.00°, γ = 90.00°
Space group Pm-3m (No. 221)
Asymmetric unit:
1 Cr 0.0000 0.0000 0.0000
2 Te 0.5000 0.5000 0.5000
3 P 0.0000 0.0000 0.5000

Properties
Electronic total energy (eV per atom): -5.376



This record from Alexandria describes Cr2TeP after structural relaxation. The functional is PBE.

a = 3.8549 Å, b = 3.8549 Å, c = 9.6626 Å
α = 90.00°, β = 90.00°, γ = 90.00°
Space group I-4m2 (No. 119)
Asymmetric unit:
1 Cr 0.0000 0.0000 0.0000
2 Cr 0.0000 0.5000 0.2500
3 Te 0.0000 0.0000 0.5000
4 P 0.0000 0.5000 0.7500

Properties
Electronic total energy (eV per atom): -6.559



This record from Alexandria describes Cr2TeP after structural relaxation. The functional is PBE.

a = 3.4699 Å, b = 3.4699 Å, c = 5.7638 Å
α = 90.00°, β = 90.00°, γ = 90.00°
Space group P4mm (No. 99)
Asymmetric unit:
1 Cr 0.0000 0.0000 0.0000
2 Cr 0.5000 0.5000 0.3204
3 Te 0.5000 0.5000 0.8234
4 P 0.0000 0.0000 0.3945

Properties
Electronic total energy (eV per atom): -6.934



This record from Alexandria describes Cr2TeP after structural relaxation. The functional is PBE.

a = 3.1674 Å, b = 3.3637 Å, c = 5.9097 Å
α = 90.00°, β = 104.95°, γ = 90.00°
Space group P2/m (No. 10)
Asymmetric unit:
1 Cr 0.1337 0.0000 0.2815
2 Te 0.5000 0.5000 0.0000
3 P 0.0000 0.5000 0.5000

Properties
Electronic total energy (eV per atom): -6.680



This record from Alexandria describes Cr2TeP after structural relaxation. The functional is PBE.

a = 3.2594 Å, b = 3.2594 Å, c = 23.8222 Å
α = 90.00°, β = 90.00°, γ = 120.00°
Space group R3m (No. 160, hexagonal axes)
Asymmetric unit:
1 Cr 0.0000 0.0000 0.0000
2 Cr 0.0000 0.0000 0.2538
3 Te 0.0000 0.0000 0.7477
4 P 0.0000 0.0000 0.5324

Properties
Electronic total energy (eV per atom): -6.625



This record from Alexandria describes CrTe3P after structural relaxation. The functional is PBE.

a = 4.9969 Å, b = 4.9969 Å, c = 4.9969 Å
α = 90.00°, β = 90.00°, γ = 90.00°
Space group Pm-3m (No. 221)
Asymmetric unit:
1 Cr 0.0000 0.0000 0.0000
2 Te 0.0000 0.0000 0.5000
3 P 0.5000 0.5000 0.5000

Properties
Electronic total energy (eV per atom): -4.135



This record from Alexandria describes Cr2TeP after structural relaxation. The functional is PBE.

a = 5.6098 Å, b = 5.6098 Å, c = 12.3300 Å
α = 90.00°, β = 90.00°, γ = 90.00°
Space group I-42d (No. 122)
Asymmetric unit:
1 Cr 0.1923 0.2500 0.1250
2 Te 0.0000 0.0000 0.5000
3 P 0.0000 0.0000 0.0000

Properties
Electronic total energy (eV per atom): -6.848



This record from Alexandria describes CrTe3P after structural relaxation. The functional is PBE.

a = 5.1409 Å, b = 5.1409 Å, c = 5.1409 Å
α = 90.00°, β = 90.00°, γ = 90.00°
Space group Pm-3m (No. 221)
Asymmetric unit:
1 Cr 0.0000 0.0000 0.0000
2 Te 0.0000 0.5000 0.5000
3 P 0.5000 0.5000 0.5000

Properties
Electronic total energy (eV per atom): -3.716



Q: What is the formula in the second record?
A: Cr2TeP



Q: Among the records above, which one has the highest electronic total energy?
A: number 8



Q: Look up the electronic total energy of the fifth one.
A: -6.625 eV per atom